Entry 1:
Here is a relaxed structure of Tb2NdDy3Y6 from Alexandria. Energies are from PBE.

a = 6.190 Å, b = 10.710 Å, c = 11.823 Å
α = 90.00°, β = 99.99°, γ = 90.00°
Space group C2/m (No. 12)
Symmetry-distinct sites (fractional):
Tb 0.000 0.167 0.000 x4
Nd 0.000 0.500 0.000 x2
Dy 0.000 0.000 0.500 x2
Dy 0.000 0.333 0.500 x4
Y 0.249 0.167 0.749 x8
Y 0.250 0.000 0.252 x4

Computed properties:
Its total magnetization is 0.00 μB per formula unit. As for the crystal system: monoclinic. The density of states at the Fermi level comes out at 16.77 states/eV/f.u. The formation energy is 19 meV/atom.



Entry 2:
Here is a relaxed structure of CaPr6Ho5 from Alexandria. Energies are from PBE.

a = 5.195 Å, b = 15.574 Å, c = 10.163 Å
α = 90.00°, β = 90.00°, γ = 90.00°
Space group Cmmm (No. 65)
Symmetry-distinct sites (fractional):
Ca 0.000 0.000 0.000 x2
Pr 0.000 0.170 0.253 x8
Pr 0.000 0.500 0.258 x4
Ho 0.000 0.000 0.500 x2
Ho 0.000 0.328 0.000 x4
Ho 0.000 0.333 0.500 x4

Computed properties:
Its total magnetization is 0.00 μB per formula unit. As for the crystal system: orthorhombic. The density of states at the Fermi level comes out at 18.04 states/eV/f.u. The formation energy is 37 meV/atom.



Entry 3:
Here is a relaxed structure of BaY3Ni from Alexandria. Energies are from PBE.

a = 5.496 Å, b = 5.496 Å, c = 5.496 Å
α = 90.00°, β = 90.00°, γ = 90.00°
Space group Pm-3m (No. 221)
Symmetry-distinct sites (fractional):
Ba 0.000 0.000 0.000 x1
Y 0.000 0.500 0.500 x3
Ni 0.500 0.500 0.500 x1

Computed properties:
Its total magnetization is 0.00 μB per formula unit. The value obtained for the energy above the most stable polymorph in this dataset is 0 meV/atom. As for the crystal system: cubic. The density of states at the Fermi level comes out at 9.25 states/eV/f.u. The formation energy is -44 meV/atom.